[1]
ScTe2S PBE relaxed; space group = R-3m (166); E_form (uncorrected) = 110 kJ/mol of formula units
1.0
-3.874 5.456 7.077
-3.441 2.305 8.815
-0.668 4.623 8.547
Sc S Te
1 1 2
Cartesian
0.000 0.000 0.000
-3.991 6.192 12.220
-7.196 11.163 22.030
-0.787 1.221 2.409

=====

[2]
Li2CuAu8 PBE relaxed; space group = Immm (71); formation energy = -197 meV/atom; excess energy over the best structure of this formula in the dataset = 30 meV per atom
1.0
-0.417 -2.166 -3.352
5.040 -5.916 3.196
-6.995 1.316 2.421
Li Cu Au
2 1 8
Cartesian
1.115 -3.775 2.301
-3.486 -2.990 -0.036
-0.208 -1.083 -1.676
2.066 -6.427 1.494
-1.882 -3.338 2.391
-1.680 -0.978 0.841
-6.217 -2.252 -0.174
-0.691 -5.788 1.424
-0.489 -3.428 -0.126
-4.438 -0.339 0.770
3.846 -4.514 2.438

=====

[3]
KSr2Tc PBE relaxed; space group = P4/mmm (123); formation energy = 947 meV/atom; excess energy over the best structure of this formula in the dataset = 329 meV per atom
1.0
-5.257 -2.356 0.688
1.717 -4.691 -2.951
1.319 -1.862 3.724
K Sr Tc
1 2 1
Cartesian
1.518 -3.276 0.387
0.000 0.000 0.000
-1.770 -3.523 -1.131
-1.969 -2.109 2.206

=====

[4]
KAsCl2 PBE relaxed; space group = Pmmm (47); excess energy over the best structure of this formula in the dataset = 265 meV per atom; E_form (uncorrected) = -217 kJ/mol of formula units
1.0
4.487 0.000 0.000
0.000 6.852 0.000
0.000 0.000 3.711
As K Cl
1 1 2
Cartesian
0.000 3.426 1.855
2.244 0.000 1.855
0.000 0.000 0.000
2.244 3.426 0.000

=====

[5]
Tb6Nd2Tm PBE relaxed; space group = C2/c (15); formation energy = 205 meV/atom; excess energy over the best structure of this formula in the dataset = 9 meV per atom
1.0
-2.594 -3.861 4.473
7.467 -4.332 5.315
-2.302 5.541 8.171
Tb Nd Tm
12 4 2
Cartesian
3.582 -2.785 8.804
3.915 -1.604 5.858
-1.011 0.134 9.156
-1.344 -1.048 12.102
4.153 -4.772 12.264
2.238 -4.981 6.437
-1.582 2.120 5.696
0.334 2.330 11.523
2.999 0.614 13.384
-0.588 0.137 2.766
-0.428 -3.266 4.577
3.159 -2.788 15.194
2.577 0.520 9.623
0.568 -0.510 6.312
-0.006 -3.171 8.337
2.003 -2.141 11.648
-1.687 3.300 8.921
4.259 -5.951 9.040

=====

[6]
SbMoAsI2 PBE relaxed; space group = P4/mmm (123); excess energy over the best structure of this formula in the dataset = 301 meV per atom; E_form (uncorrected) = 554 kJ/mol of formula units
1.0
5.552 0.000 0.000
0.000 5.552 0.000
0.000 0.000 5.599
I Sb Mo As
2 1 1 1
Cartesian
0.000 2.776 0.000
2.776 0.000 0.000
0.000 0.000 2.799
2.776 2.776 2.799
0.000 0.000 0.000

=====

[7]
BaNaTa PBE relaxed; space group = P-1 (2); formation energy = 667 meV/atom; excess energy over the best structure of this formula in the dataset = 282 meV per atom
1.0
-1.524 0.042 -3.128
-5.540 -8.254 0.634
-4.378 4.721 0.427
Na Ba Ta
2 2 2
Cartesian
-2.618 0.412 -1.544
-8.824 -3.902 -0.524
-6.376 1.510 -1.698
-5.066 -5.001 -0.370
-5.247 -1.830 -2.235
-6.195 -1.661 0.167

=====

[8]
Ho4ScAs5 PBE relaxed; space group = I4/m (87); formation energy = -1486 meV/atom
1.0
-2.885 -4.782 -1.373
2.609 -5.859 2.881
-5.236 -1.569 4.423
Ho Sc As
4 1 5
Cartesian
-4.303 -5.511 4.122
-3.381 -9.450 3.863
-2.136 -2.769 2.066
-1.214 -6.709 1.806
-0.004 -0.006 -0.002
-5.798 -7.873 3.447
-1.936 -7.077 4.607
-3.581 -5.142 1.322
0.280 -4.346 2.481
-1.446 -2.397 -0.688

=====

[9]
Dy12Ga6Sn PBE relaxed; space group = Im-3 (204); formation energy = -418 meV/atom
1.0
-7.710 -3.915 -1.083
5.383 -5.328 4.311
-1.087 7.345 4.562
Dy Ga Sn
12 6 1
Cartesian
-2.581 4.244 3.841
0.124 -2.341 2.622
-3.538 0.444 5.169
-0.833 -6.142 3.949
3.232 -2.577 4.727
-3.028 -0.731 1.633
-0.386 -1.166 6.158
-6.646 0.679 3.063
-4.788 -3.967 0.874
-0.392 1.240 3.268
-3.022 -3.138 4.523
1.374 2.070 6.916
-1.172 2.303 5.750
-2.242 -4.201 2.041
0.458 -3.860 4.963
-3.872 1.962 2.828
-5.277 -1.773 2.958
1.863 -0.124 4.832
0.000 0.000 0.000

=====

[10]
SrReN3 PBE relaxed; space group = P2_1/m (11); E_form (uncorrected) = 75 kJ/mol of formula units
1.0
0.426 2.581 -3.927
0.740 -3.772 -2.399
-7.271 -2.823 2.196
Re N Sr
2 6 2
Cartesian
-1.711 0.383 -3.269
-4.394 -4.397 -0.861
0.031 -0.523 -3.426
-6.136 -3.491 -0.705
-0.335 1.344 -2.239
-5.770 -5.358 -1.892
-4.038 -2.467 0.493
-2.067 -1.547 -4.624
-4.954 -1.254 -1.696
-1.151 -2.760 -2.434

=====

[11]
AcLa8Pm2 PBE relaxed; space group = Immm (71); formation energy = 96 meV/atom; excess energy over the best structure of this formula in the dataset = 0 meV per atom
1.0
-5.197 1.042 2.114
-1.798 -8.531 -0.213
6.464 2.930 6.743
Ac La Pm
1 8 2
Cartesian
-2.598 0.521 1.057
-3.001 -5.692 3.130
1.748 -2.293 5.426
0.926 -0.253 2.401
-0.531 -2.521 -0.062
-1.456 -4.306 6.244
-2.278 -2.265 3.218
2.471 1.134 5.515
0.001 -2.038 8.706
0.298 -4.597 2.998
-0.828 0.038 5.646

=====

[12]
Ac3HgPtBr PBE relaxed; space group = P2_1/m (11); E_form (uncorrected) = -512 kJ/mol of formula units
1.0
-0.905 3.712 -2.265
-4.760 -4.369 -5.258
-7.735 3.119 8.204
Ac Hg Pt Br
6 2 2 2
Cartesian
-6.130 -0.835 -5.451
-7.270 3.297 6.131
-6.835 -0.680 -0.559
-6.565 3.141 1.239
-3.715 1.321 -2.883
-9.684 1.141 3.563
-3.943 0.697 0.541
-9.457 1.765 0.140
-4.543 -1.594 -2.975
-8.857 4.056 3.655
-5.182 2.564 4.096
-8.218 -0.103 -3.416

=====

no.,total magnetic moment (μB per atom)
1,0.0000
2,0.0000
3,0.5798
4,0.3387
5,0.0000
6,0.7784
7,0.0000
8,0.0000
9,0.0000
10,0.0000
11,0.0000
12,0.0000